Crystalline Pr4SmDy2 at its relaxed geometry. Source: Alexandria via LeMat-Bulk, functional PBE.

Results
Volume ... 34.4 Å³/atom
Energy above the lowest structure with this stoichiometry ... 0.0567 eV/atom
Formation enthalpy at 0 K ... 0.120 eV per atom
Total magnetic moment ... 0.00 μB/atom
Symmetry ... No. 11
Crystal system ... monoclinic
Density of states at the Fermi level ... 1.52 states/eV/atom

Cell: 6.240 6.728 11.865 Å, 90.00 104.75 90.00°
Sites, in units of the cell vectors:
Pr 0.022 0.250 0.358
Pr 0.151 0.250 0.947
Pr 0.354 0.506 0.215
Pr 0.354 0.994 0.215
Pr 0.646 0.006 0.785
Pr 0.646 0.494 0.785
Pr 0.849 0.750 0.053
Pr 0.978 0.750 0.642
Sm 0.152 0.250 0.658
Sm 0.848 0.750 0.342
Dy 0.289 0.750 0.929
Dy 0.401 0.750 0.503
Dy 0.599 0.250 0.497
Dy 0.711 0.250 0.071

Crystalline DyTaNiRu at its relaxed geometry. Source: Alexandria via LeMat-Bulk, functional PBE.

Results
Volume ... 17.2 Å³/atom
Formation enthalpy at 0 K ... -0.178 eV per atom
Total magnetic moment ... 0.00 μB/atom
Symmetry ... No. 216
Crystal system ... cubic
Density of states at the Fermi level ... 0.82 states/eV/atom

Cell: 6.500 6.500 6.500 Å, 90.00 90.00 90.00°
Sites, in units of the cell vectors:
Dy 0.000 0.000 0.000
Dy 0.000 0.500 0.500
Dy 0.500 0.000 0.500
Dy 0.500 0.500 0.000
Ta 0.000 0.000 0.500
Ta 0.000 0.500 0.000
Ta 0.500 0.000 0.000
Ta 0.500 0.500 0.500
Ni 0.250 0.250 0.750
Ni 0.250 0.750 0.250
Ni 0.750 0.250 0.250
Ni 0.750 0.750 0.750
Ru 0.250 0.250 0.250
Ru 0.250 0.750 0.750
Ru 0.750 0.250 0.750
Ru 0.750 0.750 0.250

Crystalline TiOsRuS at its relaxed geometry. Source: Alexandria via LeMat-Bulk, functional PBE.

Results
Volume ... 14.0 Å³/atom
Energy above the lowest structure with this stoichiometry ... 0.0728 eV/atom
Total magnetic moment ... 0.00 μB/atom
E_form (uncorrected) ... -0.27 eV per atom
Symmetry ... No. 44
Crystal system ... orthorhombic
Density of states at the Fermi level ... 0.95 states/eV/atom

Cell: 2.868 4.326 9.032 Å, 90.00 90.00 90.00°
Sites, in units of the cell vectors:
Ti 0.000 0.000 0.000
Ti 0.500 0.500 0.500
Os 0.000 0.500 0.215
Os 0.500 0.000 0.715
Ru 0.000 0.500 0.784
Ru 0.500 0.000 0.284
S 0.000 0.000 0.501
S 0.500 0.500 0.001

> Among the records above, which one has the highest volume?

Pr4SmDy2

> Which value of density of states at the Fermi level does entry 1 give?

1.52 states/eV/atom

Copy entry 3 word for word.
Crystalline TiOsRuS at its relaxed geometry. Source: Alexandria via LeMat-Bulk, functional PBE.

Results
Volume ... 14.0 Å³/atom
Energy above the lowest structure with this stoichiometry ... 0.0728 eV/atom
Total magnetic moment ... 0.00 μB/atom
E_form (uncorrected) ... -0.27 eV per atom
Symmetry ... No. 44
Crystal system ... orthorhombic
Density of states at the Fermi level ... 0.95 states/eV/atom

Cell: 2.868 4.326 9.032 Å, 90.00 90.00 90.00°
Sites, in units of the cell vectors:
Ti 0.000 0.000 0.000
Ti 0.500 0.500 0.500
Os 0.000 0.500 0.215
Os 0.500 0.000 0.715
Ru 0.000 0.500 0.784
Ru 0.500 0.000 0.284
S 0.000 0.000 0.501
S 0.500 0.500 0.001